{
  "formula": "LaY2Te",
  "functional": "GGA-PBE",
  "state": "relaxed",
  "lattice_angstrom": [[6.337, 0.001, 0.000], [2.798, 5.686, 0.000], [-4.568, -2.843, 3.348]],
  "species": ["Y", "Y", "La", "Te"],
  "frac_coords": [[0.500, 0.500, 0.000], [0.000, 0.000, 0.000], [0.250, 0.750, 0.500], [0.750, 0.250, 0.500]],
  "e_tot_ev_per_atom": -5.722,
  "vol_a3_per_atom": 30.151
}


{
  "formula": "LaY3Te6",
  "functional": "GGA-PBE",
  "state": "relaxed",
  "lattice_angstrom": [[4.427, 0.000, 0.000], [0.000, 12.556, -0.039], [0.000, -4.234, 12.183]],
  "species": ["Te", "Te", "Te", "Te", "Te", "Te", "Te", "Te", "Te", "Te", "Te", "Te", "Y", "Y", "Y", "Y", "Y", "Y", "La", "La"],
  "frac_coords": [[0.250, 0.261, 0.725], [0.750, 0.804, 0.750], [0.250, 0.882, 0.533], [0.250, 0.196, 0.250], [0.750, 0.391, 0.058], [0.750, 0.914, 0.095], [0.250, 0.609, 0.942], [0.750, 0.739, 0.275], [0.750, 0.483, 0.617], [0.750, 0.118, 0.467], [0.250, 0.086, 0.905], [0.250, 0.517, 0.383], [0.250, 0.845, 0.917], [0.750, 0.682, 0.501], [0.750, 0.438, 0.835], [0.750, 0.155, 0.083], [0.250, 0.562, 0.165], [0.250, 0.318, 0.499], [0.750, 0.048, 0.697], [0.250, 0.952, 0.303]],
  "e_tot_ev_per_atom": -5.782,
  "vol_a3_per_atom": 33.823
}


{
  "formula": "La4YTe7",
  "functional": "GGA-PBE",
  "state": "relaxed",
  "lattice_angstrom": [[-2.771, 3.007, 1.702], [-0.352, 0.789, -7.733], [-8.867, -9.738, 2.771]],
  "species": ["Y", "Te", "Te", "Te", "Te", "Te", "Te", "Te", "La", "La", "La", "La"],
  "frac_coords": [[0.882, 0.763, 0.574], [0.038, 0.076, 0.772], [0.342, 0.683, 0.953], [0.738, 0.476, 0.356], [0.479, 0.959, 0.487], [0.965, 0.930, 0.215], [0.267, 0.535, 0.652], [0.665, 0.330, 0.053], [0.110, 0.221, 0.430], [0.307, 0.613, 0.200], [0.704, 0.407, 0.812], [0.003, 0.007, 0.995]],
  "e_tot_ev_per_atom": -5.564,
  "vol_a3_per_atom": 35.793
}